# HPd3Pt

A relaxed structure of HPd3Pt (GGA-PBEsol, Alexandria).

## Properties
E_tot = -5.68 eV per atom

a = 3.9307 Å, b = 3.9307 Å, c = 3.9307 Å
α = 90.00°, β = 90.00°, γ = 90.00°
With the nearest neighbours (Å) after each atom.
Positions (direct):
H: 0.0000 0.0000 0.0000  6 Pd 1.97
Pt: 0.5000 0.5000 0.5000  12 Pd 2.78
Pd: 0.0000 0.5000 0.0000  2 H 1.97
Pd: 0.0000 0.0000 0.5000  2 H 1.97
Pd: 0.5000 0.0000 0.0000  2 H 1.97